1.
Entry from Alexandria via LeMat-Bulk: LiTc2Bi after structural relaxation (GGA-PBE).

Properties
Calculated density, g/cm³: 9.35
Formation energy from the elements, meV per atom: 491.0
Total magnetic moment, μB per atom: 0.0000

Cell lengths 3.9074, 3.9074, 19.1680 Å; angles 90.00, 90.00, 90.00 degrees
With the nearest neighbours (Å) after each atom.
Element x y z (fractional)
Li1 0.0000 0.0000 0.0000  4 Tc 2.68, 4 Bi 2.76
Li2 0.0000 0.5000 0.2500  4 Tc 2.68, 4 Bi 2.76
Li3 0.5000 0.0000 0.7500  4 Tc 2.68, 4 Bi 2.76
Li4 0.5000 0.5000 0.5000  4 Tc 2.68, 4 Bi 2.76
Tc1 0.1751 0.2500 0.1250  2 Tc 2.39
Tc2 0.2500 0.6751 0.3750  2 Tc 2.39
Tc3 0.2500 0.8249 0.8750  2 Tc 2.39
Tc4 0.3249 0.2500 0.6250  2 Tc 2.39
Tc5 0.6751 0.7500 0.6250  2 Tc 2.39
Tc6 0.7500 0.1751 0.8750  2 Tc 2.39
Tc7 0.7500 0.3249 0.3750  2 Tc 2.39
Tc8 0.8249 0.7500 0.1250  2 Tc 2.39
Bi1 0.0000 0.0000 0.5000  4 Li 2.76, 4 Tc 2.88
Bi2 0.0000 0.5000 0.7500  4 Li 2.76, 4 Tc 2.88
Bi3 0.5000 0.0000 0.2500  4 Li 2.76, 4 Tc 2.88
Bi4 0.5000 0.5000 0.0000  4 Li 2.76, 4 Tc 2.88

2.
Entry from Alexandria via LeMat-Bulk: Li3TcBi after structural relaxation (GGA-PBE).

Properties
Calculated density, g/cm³: 4.06
Formation energy from the elements, meV per atom: 838.1
Energy above the lowest structure with this stoichiometry, meV/atom: 0
Total magnetic moment, μB per atom: 0.9331

Cell lengths 5.1168, 5.1168, 5.1168 Å; angles 90.00, 90.00, 90.00 degrees
With the nearest neighbours (Å) after each atom.
Element x y z (fractional)
Li1 0.0000 0.0000 0.5000  2 Bi 2.56
Li2 0.0000 0.5000 0.0000  2 Bi 2.56
Li3 0.5000 0.0000 0.0000  2 Bi 2.56
Tc1 0.5000 0.5000 0.5000  12 Li 3.62
Bi1 0.0000 0.0000 0.0000  6 Li 2.56

3.
Entry from Alexandria via LeMat-Bulk: LiTcBi2 after structural relaxation (GGA-PBE).

Properties
Calculated density, g/cm³: 6.74
Formation energy from the elements, meV per atom: 573.4
Energy above the lowest structure with this stoichiometry, meV/atom: 397
Total magnetic moment, μB per atom: 0.0000

Cell lengths 6.7464, 6.7464, 11.3204 Å; angles 90.00, 90.00, 90.00 degrees
With the nearest neighbours (Å) after each atom.
Element x y z (fractional)
Li1 0.0000 0.0000 0.0000  4 Bi 2.92
Li2 0.0000 0.5000 0.2500  4 Bi 2.92
Li3 0.5000 0.0000 0.7500  4 Bi 2.92
Li4 0.5000 0.5000 0.5000  4 Bi 2.92
Tc1 0.0000 0.0000 0.5000  4 Bi 2.64
Tc2 0.0000 0.5000 0.7500  4 Bi 2.64
Tc3 0.5000 0.0000 0.2500  4 Bi 2.64
Tc4 0.5000 0.5000 0.0000  4 Bi 2.64
Bi1 0.2162 0.2500 0.6250  2 Tc 2.64, 2 Li 2.92
Bi2 0.2500 0.7162 0.8750  2 Tc 2.64, 2 Li 2.92
Bi3 0.2500 0.7838 0.3750  2 Tc 2.64, 2 Li 2.92
Bi4 0.2838 0.2500 0.1250  2 Tc 2.64, 2 Li 2.92
Bi5 0.7162 0.7500 0.1250  2 Tc 2.64, 2 Li 2.92
Bi6 0.7500 0.2162 0.3750  2 Tc 2.64, 2 Li 2.92
Bi7 0.7500 0.2838 0.8750  2 Tc 2.64, 2 Li 2.92
Bi8 0.7838 0.7500 0.6250  2 Tc 2.64, 2 Li 2.92